A relaxed structure of BaYPCl2, computed with PBE-GGA.

The structure in extended XYZ format:
```
5
Lattice="5.536 0.000 0.000 0.000 5.536 0.000 0.000 0.000 6.330" Properties=species:S:1:pos:R:3 pbc="T T T"
Ba 0.000 0.000 0.000
Y 2.768 2.768 3.165
P 0.000 0.000 3.165
Cl 0.000 2.768 0.000
Cl 2.768 0.000 0.000
```

Calculated values
Energy relative to the elements, uncorrected   -55.0 kJ per mole of atoms
Symmetry   No. 123